Version w
A plane-wave DFT calculation with PBE-GGA was carried out for a geometry-optimized Mn2HgBr structure.

Lattice parameters (Å, degrees): 3.280 4.465 5.786 90.00 90.00 90.00
Sites, in units of the cell vectors:
1 Mn 0.000 0.000 0.000
2 Mn 0.500 0.000 0.500
3 Hg 0.000 0.500 0.500
4 Br 0.500 0.500 0.000

Computed properties:
space-group type: Pmmm (47)
magnetization: 8.228 μB/cell
calculated volume: 84.74 Å³/cell
density: 7.65 Mg/m³

Version x
A plane-wave DFT calculation with PBE-GGA was carried out for a geometry-optimized Mn2HgBr structure.

Lattice parameters (Å, degrees): 5.000 5.000 3.194 90.00 90.00 101.48
Sites, in units of the cell vectors:
1 Mn 0.000 0.500 0.000
2 Mn 0.500 0.000 0.000
3 Hg 0.000 0.000 0.500
4 Br 0.500 0.500 0.500

Computed properties:
space-group type: Cmmm (65)
magnetization: 8.151 μB/cell
calculated volume: 78.24 Å³/cell
density: 8.28 Mg/m³

version x is preferred energetically. Next in line: 16 meV per atom higher.

Version w
A plane-wave DFT calculation with PBE-GGA was carried out for a geometry-optimized MnHgBr4 structure.

Lattice parameters (Å, degrees): 7.863 7.863 7.042 115.19 115.19 29.27
Sites, in units of the cell vectors:
1 Mn 0.000 0.000 0.000
2 Hg 0.500 0.500 0.500
3 Br 0.115 0.115 0.789
4 Br 0.388 0.388 0.746
5 Br 0.612 0.612 0.254
6 Br 0.885 0.885 0.211

Computed properties:
space-group type: C2/m (12)
magnetization: 5.000 μB/cell
calculated volume: 191.17 Å³/cell
density: 5.00 Mg/m³

Version x
A plane-wave DFT calculation with PBE-GGA was carried out for a geometry-optimized MnHgBr4 structure.

Lattice parameters (Å, degrees): 6.348 6.348 6.348 60.00 60.00 60.00
Sites, in units of the cell vectors:
1 Mn 0.000 0.000 0.000
2 Hg 0.250 0.250 0.250
3 Br 0.122 0.626 0.626
4 Br 0.626 0.122 0.626
5 Br 0.626 0.626 0.122
6 Br 0.626 0.626 0.626

Computed properties:
space-group type: F-43m (216)
magnetization: 4.013 μB/cell
calculated volume: 180.91 Å³/cell
density: 5.28 Mg/m³

version w is preferred energetically. Next in line: 1188 meV per atom higher.

Version w
A plane-wave DFT calculation with PBE-GGA was carried out for a geometry-optimized Hg2MoBr structure.

Lattice parameters (Å, degrees): 2.962 2.962 10.571 90.00 90.00 90.00
Sites, in units of the cell vectors:
1 Hg 0.000 0.000 0.197
2 Hg 0.000 0.000 0.803
3 Mo 0.500 0.500 0.000
4 Br 0.500 0.500 0.500

Computed properties:
space-group type: P4/mmm (123)
magnetization: 0.000 μB/cell
calculated volume: 92.77 Å³/cell
density: 10.33 Mg/m³

Version x
A plane-wave DFT calculation with PBE-GGA was carried out for a geometry-optimized Hg2MoBr structure.

Lattice parameters (Å, degrees): 5.184 5.184 3.397 90.00 90.00 90.00
Sites, in units of the cell vectors:
1 Hg 0.000 0.500 0.000
2 Hg 0.500 0.000 0.000
3 Mo 0.000 0.000 0.500
4 Br 0.500 0.500 0.500

Computed properties:
space-group type: P4/mmm (123)
magnetization: 2.722 μB/cell
calculated volume: 91.27 Å³/cell
density: 10.50 Mg/m³

version w is preferred energetically. Next in line: 136 meV per atom higher.